As2WSBr: relaxed, PBE.

Its total magnetization is 0.000 μB/f.u. The formation energy from raw total energies is 0.7073 eV per atom. The relative energy among the computed polymorphs is 0 meV per atom. The value obtained for the density of states at the Fermi level is 0.8721 states/eV per atom.

The structure belongs to space group P4/mmm (No. 123); the cell edges are 4.945, 4.945 and 4.847 Å and the angles 90.00°, 90.00° and 90.00°. The asymmetric unit holds As at (0.000, 0.500, 0.000), W at (0.000, 0.000, 0.000), S at (0.500, 0.500, 0.500) and Br at (0.000, 0.000, 0.500).

***

Mo2Se4S: relaxed, PBE.

Its total magnetization is 4.563 μB/f.u. The formation energy from raw total energies is 0.5802 eV per atom. The value obtained for the density of states at the Fermi level is 0.6339 states/eV per atom.

The structure belongs to space group I4/mmm (No. 139); the cell edges are 4.934, 4.934 and 16.006 Å and the angles 90.00°, 90.00° and 90.00°. The asymmetric unit holds Mo at (0.000, 0.000, 0.085), Se at (0.000, 0.000, 0.227), Se at (0.000, 0.500, 0.000) and S at (0.000, 0.000, 0.500).